## A
The following is a DFT calculation (PBE-GGA) of crystalline YReAs2 at its relaxed geometry.

As for the calculated volume: 84.8 Å³/cell. For the mass density, the calculation gives 8.322 Mg/m³.

a b c (Å): 3.2098 3.2098 8.2308
angles (deg): 90.00 90.00 90.00
Sites, in units of the cell vectors:
Y 0.0000 0.0000 0.0000
Re 0.5000 0.5000 0.7445
As 0.0000 0.0000 0.6039
As 0.5000 0.5000 0.2603

## B
The following is a DFT calculation (PBE-GGA) of crystalline YReAs2 at its relaxed geometry.

As for the calculated volume: 243.3 Å³/cell. For the mass density, the calculation gives 8.701 Mg/m³.

a b c (Å): 3.2804 3.2804 26.1055
angles (deg): 90.00 90.00 120.00
Sites, in units of the cell vectors:
Y 0.0000 0.0000 0.0000
Y 0.3333 0.6667 0.6667
Y 0.6667 0.3333 0.3333
Re 0.0000 0.0000 0.2443
Re 0.3333 0.6667 0.9109
Re 0.6667 0.3333 0.5776
As 0.0000 0.0000 0.5140
As 0.0000 0.0000 0.7555
As 0.3333 0.6667 0.1806
As 0.3333 0.6667 0.4222
As 0.6667 0.3333 0.0888
As 0.6667 0.3333 0.8473

## C
The following is a DFT calculation (PBE-GGA) of crystalline YReAs2 at its relaxed geometry.

As for the calculated volume: 83.5 Å³/cell. For the mass density, the calculation gives 8.454 Mg/m³.

a b c (Å): 3.8942 3.8942 5.5041
angles (deg): 90.00 90.00 90.00
Sites, in units of the cell vectors:
Y 0.0000 0.0000 0.0000
Re 0.5000 0.5000 0.5000
As 0.0000 0.0000 0.5000
As 0.5000 0.5000 0.0000

## D
The following is a DFT calculation (PBE-GGA) of crystalline YReAs2 at its relaxed geometry.

As for the calculated volume: 167.9 Å³/cell. For the mass density, the calculation gives 8.407 Mg/m³.

a b c (Å): 8.5872 3.3413 6.2404
angles (deg): 90.00 110.36 90.00
Sites, in units of the cell vectors:
Y 0.0000 0.0000 0.0000
Y 0.5000 0.5000 0.0000
Re 0.2073 0.5000 0.4202
Re 0.7073 0.0000 0.4202
As 0.2166 0.0000 0.7402
As 0.4070 0.0000 0.3817
As 0.7166 0.5000 0.7402
As 0.9070 0.5000 0.3817

Energetically preferred structure: D | next structure: +278 meV per atom

## A
The following is a DFT calculation (PBE-GGA) of crystalline YReAs2 at its relaxed geometry.

As for the calculated volume: 156.4 Å³/cell. For the mass density, the calculation gives 9.023 Mg/m³.

a b c (Å): 3.3085 3.6562 12.9308
angles (deg): 90.00 90.00 90.00
Sites, in units of the cell vectors:
Y 0.0000 0.0000 0.0000
Y 0.5000 0.5000 0.5000
Re 0.0000 0.5000 0.2542
Re 0.5000 0.0000 0.7542
As 0.0000 0.0000 0.6085
As 0.0000 0.5000 0.8311
As 0.5000 0.0000 0.3311
As 0.5000 0.5000 0.1085

## B
The following is a DFT calculation (PBE-GGA) of crystalline YReAs2 at its relaxed geometry.

As for the calculated volume: 176.3 Å³/cell. For the mass density, the calculation gives 8.006 Mg/m³.

a b c (Å): 4.6425 3.5604 10.6648
angles (deg): 90.00 90.00 90.00
Sites, in units of the cell vectors:
Y 0.0000 0.0000 0.0000
Y 0.0000 0.5000 0.5000
Re 0.5000 0.0000 0.2168
Re 0.5000 0.5000 0.7168
As 0.0000 0.0000 0.2783
As 0.0000 0.5000 0.7783
As 0.5000 0.0000 0.5577
As 0.5000 0.5000 0.0577

Energetically preferred structure: A | next structure: +120 meV per atom

## A
The following is a DFT calculation (PBE-GGA) of crystalline YReAs2 at its relaxed geometry.

As for the calculated volume: 298.4 Å³/cell. For the mass density, the calculation gives 9.460 Mg/m³.

a b c (Å): 6.6822 6.6822 6.6822
angles (deg): 90.00 90.00 90.00
Sites, in units of the cell vectors:
Y 0.0000 0.0000 0.0000
Y 0.0000 0.5000 0.5000
Y 0.5000 0.0000 0.5000
Y 0.5000 0.5000 0.0000
Re 0.2500 0.2500 0.7500
Re 0.2500 0.7500 0.2500
Re 0.7500 0.2500 0.2500
Re 0.7500 0.7500 0.7500
As 0.0000 0.0000 0.5000
As 0.0000 0.5000 0.0000
As 0.2500 0.2500 0.2500
As 0.2500 0.7500 0.7500
As 0.5000 0.0000 0.0000
As 0.5000 0.5000 0.5000
As 0.7500 0.2500 0.7500
As 0.7500 0.7500 0.2500

## B
The following is a DFT calculation (PBE-GGA) of crystalline YReAs2 at its relaxed geometry.

As for the calculated volume: 412.6 Å³/cell. For the mass density, the calculation gives 6.840 Mg/m³.

a b c (Å): 5.4679 5.4679 13.8016
angles (deg): 90.00 90.00 90.00
Sites, in units of the cell vectors:
Y 0.0000 0.0000 0.0000
Y 0.0000 0.5000 0.2500
Y 0.5000 0.0000 0.7500
Y 0.5000 0.5000 0.5000
Re 0.0000 0.0000 0.5000
Re 0.0000 0.5000 0.7500
Re 0.5000 0.0000 0.2500
Re 0.5000 0.5000 0.0000
As 0.1719 0.2500 0.6250
As 0.2500 0.6719 0.8750
As 0.2500 0.8281 0.3750
As 0.3281 0.2500 0.1250
As 0.6719 0.7500 0.1250
As 0.7500 0.1719 0.3750
As 0.7500 0.3281 0.8750
As 0.8281 0.7500 0.6250

Energetically preferred structure: B | next structure: +285 meV per atom